No. 1
A relaxed structure of Er2Tm5. Source: the Open Quantum Materials Database, functional PBE.

- spin magnetization (μB per formula unit) = 0.05
- SG = C2/c
- DFT total energy (eV per atom) = -4.50
- calculated formation energy (eV/atom) = 0.000
- calculated volume (Å³ per cell) = 422

Structure (extended XYZ):
```
14
Lattice="-4.3979 6.2960 -3.0368 -4.6891 6.0489 3.1027 7.7717 4.4994 0.5499" Properties=species:S:1:pos:R:3 pbc="T T T"
Tm -2.3330 9.9459 2.3456
Tm -0.1550 12.4730 1.5215
Tm 1.1882 9.4646 2.4915
Tm -3.9438 10.3057 -0.7988
Tm 1.7472 12.3605 -1.4753
Tm -1.1603 4.3713 -0.9057
Tm -3.0625 4.4838 2.0911
Tm 2.6285 6.5386 1.4146
Tm 1.0177 6.8984 -1.7298
Tm -2.5035 7.3797 -1.8757
Er -0.4265 9.8292 -0.6537
Er -4.4097 7.4970 1.1218
Er -0.8887 7.0151 1.2695
Er 3.0944 9.3473 -0.5061
```

No. 2
A relaxed structure of Cu2Ag3. Source: the Open Quantum Materials Database, functional PBE.

- SG = C2/m
- DFT total energy (eV per atom) = -3.11
- calculated formation energy (eV/atom) = 0.070
- calculated volume (Å³ per cell) = 155

Structure (extended XYZ):
```
10
Lattice="-4.2787 -0.4802 2.3322 -4.0615 -2.5176 -1.0692 3.4987 -6.7863 4.2884" Properties=species:S:1:pos:R:3 pbc="T T T"
Ag 0.4051 -7.4436 4.4845
Ag 2.5783 -5.7605 3.6152
Ag -3.6181 -7.1136 4.0299
Ag -1.2234 -2.6705 1.5215
Ag -7.4198 -4.0236 1.9362
Ag -5.2466 -2.3405 1.0668
Cu -1.4535 -5.5560 3.2352
Cu 0.7589 -4.0890 2.4978
Cu -3.3881 -4.2280 2.3162
Cu -5.6004 -5.6950 3.0536
```

No. 3
A relaxed structure of NbFe. Source: the Open Quantum Materials Database, functional PBE.

- spin magnetization (μB per formula unit) = 0.00
- SG = P6_3/mmc
- DFT total energy (eV per atom) = -8.36
- calculated formation energy (eV/atom) = 0.841
- calculated volume (Å³ per cell) = 73

Structure (extended XYZ):
```
4
Lattice="2.0556 -3.5604 0.0000 2.0556 3.5604 0.0000 0.0000 0.0000 4.9609" Properties=species:S:1:pos:R:3 pbc="T T T"
Fe 0.0000 0.0000 4.6508
Fe 2.0556 1.1868 2.1704
Nb 2.0556 1.1868 4.6509
Nb 0.0000 0.0000 2.1704
```

No. 4
A relaxed structure of Sm2Os. Source: the Open Quantum Materials Database, functional PBE.

- spin magnetization (μB per formula unit) = 0.29
- SG = Fd-3m
- DFT total energy (eV per atom) = -5.64
- calculated formation energy (eV/atom) = 1.241
- calculated volume (Å³ per cell) = 143

Structure (extended XYZ):
```
6
Lattice="2.4634 0.7107 5.2783 -3.2012 -0.7622 4.8585 0.9553 -4.6549 3.4428" Properties=species:S:1:pos:R:3 pbc="T T T"
Sm 1.7365 -2.5604 6.0580
Sm -1.0958 -3.2969 5.8481
Sm 0.1359 -2.9415 8.4872
Sm -0.3417 -0.6141 6.7658
Os 0.0000 0.0000 0.0000
Os 0.0544 -1.1766 3.3949
```

No. 5
A relaxed structure of DyHo2In3CuPd2. Source: the Open Quantum Materials Database, functional PBE.

- spin magnetization (μB per formula unit) = 0.01
- SG = Amm2
- DFT total energy (eV per atom) = -4.71
- calculated volume (Å³ per cell) = 194

Structure (extended XYZ):
```
9
Lattice="3.8385 0.0000 0.0000 0.0000 6.6246 3.8219 0.0000 -6.6246 3.8219" Properties=species:S:1:pos:R:3 pbc="T T T"
In 1.9192 -4.9533 4.7837
In 1.9192 4.9533 4.7837
In 1.9192 0.0000 5.7191
Pd 1.9192 -2.2128 3.8229
Pd 1.9192 2.2128 3.8229
Ho 0.0000 -3.9112 2.2565
Ho 0.0000 3.9112 2.2565
Dy 0.0000 0.0000 3.1312
Cu 0.0000 0.0000 7.6419
```

No. 6
A relaxed structure of Ba2PrNbO6. Source: the Open Quantum Materials Database, functional PBE.

- spin magnetization (μB per formula unit) = 0.00
- SG = P2_1/c
- DFT total energy (eV per atom) = -7.78
- calculated volume (Å³ per cell) = 321

Structure (extended XYZ):
```
20
Lattice="6.1167 0.0000 -0.0087 0.0000 6.0830 0.0000 -0.0370 0.0000 8.6160" Properties=species:S:1:pos:R:3 pbc="T T T"
O 5.7100 3.0978 1.9742
O 4.5909 4.8251 4.5999
O 1.4888 1.2579 4.0074
O 1.5510 4.2994 0.2962
O 4.5287 1.7836 8.3111
O 4.8376 4.6098 8.3090
O 1.2421 1.4731 0.2983
O 4.2820 1.5684 4.6020
O 1.7977 4.5146 4.0053
O 2.6331 6.0266 6.2865
O 3.4466 0.0563 2.3208
O 0.3697 2.9852 6.6331
Pr 3.0213 0.0000 8.6116
Pr -0.0185 3.0415 4.3080
Nb 0.0000 3.0415 0.0000
Nb 3.0399 0.0000 4.3037
Ba 0.0198 5.9789 2.1460
Ba 3.0200 2.9375 2.1577
Ba 6.0599 0.1040 6.4613
Ba 3.0597 3.1455 6.4497
```

No. 7
A relaxed structure of ScZnCu. Source: the Open Quantum Materials Database, functional PBE.

- spin magnetization (μB per formula unit) = 0.00
- SG = Pnma
- DFT total energy (eV per atom) = -4.07
- calculated formation energy (eV/atom) = -0.301
- calculated volume (Å³ per cell) = 196

Structure (extended XYZ):
```
12
Lattice="-2.3540 1.4424 -5.7070 3.2788 -1.7555 -1.7961 -3.6064 -6.5609 -0.1707" Properties=species:S:1:pos:R:3 pbc="T T T"
Sc -1.2606 -5.0426 -4.4955
Sc -2.1270 -0.2531 -6.0096
Sc -0.5546 -6.6209 -1.6642
Sc -1.4210 -1.8314 -3.1784
Zn -3.3943 -6.1363 -2.5729
Zn -3.1721 -2.8694 -5.3602
Zn 0.7127 -0.7377 -5.1010
Zn 0.4905 -4.0046 -2.3137
Cu 1.3944 -1.7506 -2.8666
Cu -4.0760 -5.1234 -4.8072
Cu -0.6925 -2.6846 -5.7632
Cu -1.9891 -4.1894 -1.9107
```

No. 8
A relaxed structure of HfZnHg. Source: the Open Quantum Materials Database, functional PBE.

- spin magnetization (μB per formula unit) = 0.00
- SG = F-43m
- DFT total energy (eV per atom) = -3.70
- calculated formation energy (eV/atom) = 0.138
- calculated volume (Å³ per cell) = 65

Structure (extended XYZ):
```
3
Lattice="0.0000 3.1876 3.1876 3.1876 0.0000 3.1876 3.1876 3.1876 0.0000" Properties=species:S:1:pos:R:3 pbc="T T T"
Zn 4.7814 4.7814 4.7814
Hg 0.0000 0.0000 0.0000
Hf 1.5938 1.5938 1.5938
```

No. 9
A relaxed structure of Gd2Fe3Si5. Source: the Open Quantum Materials Database, functional PBE.

- spin magnetization (μB per formula unit) = 0.01
- SG = P4/mnc
- DFT total energy (eV per atom) = -6.82
- calculated volume (Å³ per cell) = 592

Structure (extended XYZ):
```
40
Lattice="-5.9153 8.2774 1.9480 -8.1678 -4.8703 -4.1071 -1.2593 -2.0659 4.9542" Properties=species:S:1:pos:R:3 pbc="T T T"
Si -11.0413 1.0801 -0.8223
Si -7.8201 4.7225 1.5153
Si -9.5326 -0.0325 -2.4367
Si -4.9730 -0.8449 -1.6164
Si -8.0152 0.1063 2.7509
Si -4.3010 0.2611 3.6174
Si -7.3271 1.2350 0.0441
Si -6.8926 -2.3483 -1.1973
Si -7.5222 -3.3812 1.2797
Si -0.9153 -1.5015 3.6008
Si -8.4498 3.6895 3.9924
Si -4.5504 3.4396 0.2776
Si -3.3720 -2.4175 1.2027
Si -11.6710 0.0472 1.6548
Si -9.1100 4.2520 -0.5427
Si -4.8233 4.4892 3.7138
Si -10.5191 -3.1480 -0.9187
Si -3.6713 1.2940 1.1403
Si -11.9704 3.7587 1.5924
Si -0.3440 -0.5644 1.3534
Gd -9.6330 2.2833 1.5713
Gd -5.0885 5.9879 1.2035
Gd -2.3362 -0.5729 -0.8327
Gd -5.7094 -0.9421 1.2237
Gd -11.7468 3.9800 -1.3264
Gd -9.1854 -1.0525 0.2941
Gd -8.9945 -2.5808 -3.3626
Gd -6.1569 2.3937 2.5010
Fe -3.9021 2.5893 4.6896
Fe -4.3987 -2.9516 -0.8150
Fe -5.1263 1.3951 -0.7213
Fe -12.8485 1.7683 0.5392
Fe -5.0284 -3.9846 1.6621
Fe -3.2725 3.6222 2.2125
Fe -8.3359 -4.1776 -0.7931
Fe -6.8986 3.5063 -0.2915
Fe -7.0065 5.5188 3.5882
Fe -2.4939 -0.4270 2.2559
Fe -7.1844 -0.0992 -1.8676
Fe -8.9567 2.0120 -1.4378
```

No. 10
A relaxed structure of Y4CuSnN2. Source: the Open Quantum Materials Database, functional PBE.

- spin magnetization (μB per formula unit) = 0.01
- SG = P-6m2
- DFT total energy (eV per atom) = -7.26
- calculated volume (Å³ per cell) = 159

Structure (extended XYZ):
```
8
Lattice="3.5258 0.0000 0.0000 -1.7629 3.0534 0.0000 0.0000 0.0000 14.7267" Properties=species:S:1:pos:R:3 pbc="T T T"
Y 1.7629 1.0178 5.2814
Y 1.7629 1.0178 9.4453
Y 0.0000 2.0356 2.5653
Y 0.0000 2.0356 12.1614
N 0.0000 0.0000 3.7987
N 0.0000 0.0000 10.9280
Cu 0.0000 2.0356 7.3634
Sn 1.7629 1.0178 0.0000
```

No. 11
A relaxed structure of SmInSiPt2. Source: the Open Quantum Materials Database, functional PBE.

- spin magnetization (μB per formula unit) = 0.01
- SG = P4/nmm
- DFT total energy (eV per atom) = -5.97
- calculated volume (Å³ per cell) = 199

Structure (extended XYZ):
```
10
Lattice="-0.7188 0.9382 -4.1184 4.1098 -0.8092 -0.9017 -2.4616 -10.3528 -1.9287" Properties=species:S:1:pos:R:3 pbc="T T T"
Si -2.5347 -8.6794 -3.7636
Si 1.7686 -1.6089 -0.6752
Sm 0.1695 -8.3340 -1.9281
Sm -0.9356 -1.9543 -2.5107
In -1.2308 -5.1764 -0.9643
In 0.4647 -5.1119 -3.4744
Pt -2.0046 -6.4500 -3.3482
Pt 1.6955 0.0645 -2.5101
Pt 1.2385 -3.8383 -1.0905
Pt 0.0000 0.0000 0.0000
```

No. 12
A relaxed structure of Ga2CuNiIr4. Source: the Open Quantum Materials Database, functional PBE.

- spin magnetization (μB per formula unit) = 1.66
- SG = P4/mmm
- DFT total energy (eV per atom) = -6.49
- calculated volume (Å³ per cell) = 109

Structure (extended XYZ):
```
8
Lattice="4.2513 0.0000 0.0000 0.0000 4.2513 0.0000 0.0000 0.0000 6.0177" Properties=species:S:1:pos:R:3 pbc="T T T"
Ga 2.1256 2.1256 0.0000
Ga 0.0000 0.0000 3.0089
Cu 0.0000 0.0000 0.0000
Ir 2.1256 0.0000 1.5248
Ir 0.0000 2.1256 4.4929
Ir 2.1256 0.0000 4.4929
Ir 0.0000 2.1256 1.5248
Ni 2.1256 2.1256 3.0089
```

No. 13
A relaxed structure of Gd2NiAu. Source: the Open Quantum Materials Database, functional PBE.

- spin magnetization (μB per formula unit) = 0.00
- SG = Amm2
- DFT total energy (eV per atom) = -5.16
- calculated formation energy (eV/atom) = -0.624
- calculated volume (Å³ per cell) = 91

Structure (extended XYZ):
```
4
Lattice="4.4690 0.0000 0.0000 0.0000 1.9213 5.2995 0.0000 -1.9213 5.2995" Properties=species:S:1:pos:R:3 pbc="T T T"
Gd 0.0000 0.0000 9.1319
Gd 2.2345 0.0000 1.5162
Ni 2.2345 0.0000 4.4254
Au 0.0000 0.0000 6.1243
```

No. 14
A relaxed structure of SmGaGeAu2. Source: the Open Quantum Materials Database, functional PBE.

- spin magnetization (μB per formula unit) = 0.00
- SG = P4/nmm
- DFT total energy (eV per atom) = -4.39
- calculated volume (Å³ per cell) = 206

Structure (extended XYZ):
```
10
Lattice="-3.3339 -1.9718 -1.9180 2.5396 -1.0482 -3.3367 2.6910 -9.4203 5.0073" Properties=species:S:1:pos:R:3 pbc="T T T"
Sm 1.9102 -2.7661 -0.4766
Sm 0.3836 -8.1641 2.8565
Ge 3.5836 -8.6242 2.6372
Ge -1.2898 -2.3060 -0.2573
Au 0.0000 0.0000 0.0000
Au 2.9748 -6.4927 1.5042
Au -0.3972 -1.5100 -2.6274
Au -0.6809 -4.4376 0.8757
Ga 0.9483 -6.2201 -0.1237
Ga 1.3455 -4.7101 2.5036
```

No. 15
A relaxed structure of BaHoCu. Source: the Open Quantum Materials Database, functional PBE.

- spin magnetization (μB per formula unit) = 0.00
- SG = F-43m
- DFT total energy (eV per atom) = -2.47
- calculated volume (Å³ per cell) = 98

Structure (extended XYZ):
```
3
Lattice="3.1193 0.3301 4.1085 -2.0096 0.3322 4.7508 0.4070 -3.9882 3.2631" Properties=species:S:1:pos:R:3 pbc="T T T"
Cu 0.3792 -0.8315 3.0306
Ba 0.0000 0.0000 0.0000
Ho 1.1375 -2.4944 9.0917
```

No. 16
A relaxed structure of YGaFeRe. Source: the Open Quantum Materials Database, functional PBE.

- spin magnetization (μB per formula unit) = 2.87
- SG = F-43m
- DFT total energy (eV per atom) = -7.19
- calculated volume (Å³ per cell) = 67

Structure (extended XYZ):
```
4
Lattice="2.2752 -1.9861 -3.4088 1.5997 -4.2354 0.4931 -1.9000 -3.4349 -2.3091" Properties=species:S:1:pos:R:3 pbc="T T T"
Y 0.9874 -4.8282 -2.6124
Re 0.4937 -2.4141 -1.3062
Fe 1.4812 -7.2423 -3.9186
Ga 0.0000 0.0000 0.0000
```

No. 17
A relaxed structure of CsGdSO. Source: the Open Quantum Materials Database, functional PBE.

- spin magnetization (μB per formula unit) = 0.00
- SG = P4/nmm
- DFT total energy (eV per atom) = -5.56
- calculated volume (Å³ per cell) = 237

Structure (extended XYZ):
```
8
Lattice="-2.5927 -0.7601 3.8489 3.9182 -0.7339 2.4945 0.4498 10.4410 2.3650" Properties=species:S:1:pos:R:3 pbc="T T T"
S 0.6496 7.0125 3.2588
S 1.1257 1.9346 5.4495
O 2.2905 -0.7404 2.8331
O -0.9650 -0.7535 3.5103
Cs -0.7401 4.4670 4.6928
Cs 2.5154 4.4801 4.0156
Gd 1.0202 -0.5141 4.8949
Gd 0.7551 9.4611 3.8135
```

No. 18
A relaxed structure of Nb3Te2. Source: the Open Quantum Materials Database, functional PBE.

- spin magnetization (μB per formula unit) = 0.01
- SG = P2_1/m
- DFT total energy (eV per atom) = -7.57
- calculated volume (Å³ per cell) = 227

Structure (extended XYZ):
```
10
Lattice="7.2201 0.0000 0.0000 0.0000 3.6079 0.0000 -0.8019 0.0000 8.6971" Properties=species:S:1:pos:R:3 pbc="T T T"
Te 1.1873 2.7059 3.1847
Te 5.6212 0.9020 1.3791
Te 5.2309 0.9020 5.5124
Te 0.7970 2.7059 7.3180
Nb 5.2560 2.7059 7.8411
Nb 3.3738 2.7059 1.0746
Nb 1.1622 0.9020 0.8560
Nb 3.0444 0.9020 7.6225
Nb 2.9917 2.7059 5.4276
Nb 3.4266 0.9020 3.2695
```

No. 19
A relaxed structure of Y3Ag4Sn4. Source: the Open Quantum Materials Database, functional PBE.

- spin magnetization (μB per formula unit) = 0.04
- SG = Immm
- DFT total energy (eV per atom) = -4.75
- calculated volume (Å³ per cell) = 256

Structure (extended XYZ):
```
11
Lattice="-2.2849 3.6690 7.6370 2.2849 -3.6690 7.6370 2.2849 3.6690 -7.6370" Properties=species:S:1:pos:R:3 pbc="T T T"
Ag 2.2849 -2.2139 5.0189
Ag 0.0000 1.4550 2.6181
Ag 2.2849 2.2139 5.0189
Ag 0.0000 5.8829 2.6181
Y 0.0000 0.0000 5.6946
Y 2.2849 0.0000 0.0000
Y 0.0000 0.0000 9.5793
Sn 0.0000 3.6690 4.3612
Sn 2.2849 0.0000 3.2758
Sn 0.0000 5.1141 0.0000
Sn 0.0000 2.2238 0.0000
```

No. 20
A relaxed structure of SrNi2As2. Source: the Open Quantum Materials Database, functional PBE.

- spin magnetization (μB per formula unit) = 0.00
- SG = I4/mmm
- DFT total energy (eV per atom) = -5.10
- calculated volume (Å³ per cell) = 90

Structure (extended XYZ):
```
5
Lattice="0.3937 -5.8461 1.0083 -4.8559 -3.1669 1.3191 1.7933 3.9818 -4.0345" Properties=species:S:1:pos:R:3 pbc="T T T"
Ni -0.0220 -3.1854 -0.9312
Ni -2.6468 -1.8458 -0.7758
As -1.6161 -3.2643 0.8430
As -2.8460 -5.7486 1.4845
Sr 0.0000 0.0000 0.0000
```

No. 21
A relaxed structure of Ga3NiPt. Source: the Open Quantum Materials Database, functional PBE.

- spin magnetization (μB per formula unit) = 0.01
- SG = I4mm
- DFT total energy (eV per atom) = -4.21
- calculated volume (Å³ per cell) = 89

Structure (extended XYZ):
```
5
Lattice="-1.9147 1.9147 6.0499 1.9147 -1.9147 6.0499 1.9147 1.9147 -6.0499" Properties=species:S:1:pos:R:3 pbc="T T T"
Pt 0.0000 0.0000 5.0736
Ga 1.9147 0.0000 3.3822
Ga 0.0000 0.0000 7.4872
Ga 0.0000 1.9147 3.3822
Ni 0.0000 0.0000 11.2921
```

No. 22
A relaxed structure of YLu2Bi3. Source: the Open Quantum Materials Database, functional PBE.

- spin magnetization (μB per formula unit) = 0.00
- SG = P-3m1
- DFT total energy (eV per atom) = -5.41
- calculated volume (Å³ per cell) = 185

Structure (extended XYZ):
```
6
Lattice="-1.0390 4.2075 0.9371 0.3904 -2.9684 3.2706 10.5492 2.4003 0.9192" Properties=species:S:1:pos:R:3 pbc="T T T"
Y 5.2746 1.2002 0.4596
Lu 1.1878 2.2138 1.8674
Lu 8.7129 1.4256 3.2595
Bi 6.5145 3.4258 2.3316
Bi 3.3862 0.2136 2.7953
Bi 0.0000 0.0000 0.0000
```

No. 23
A relaxed structure of CuBiB2. Source: the Open Quantum Materials Database, functional PBE.

- SG = F-43m
- DFT total energy (eV per atom) = -3.56
- calculated volume (Å³ per cell) = 60

Structure (extended XYZ):
```
4
Lattice="0.0000 3.1111 3.1111 3.1111 0.0000 3.1111 3.1111 3.1111 0.0000" Properties=species:S:1:pos:R:3 pbc="T T T"
Cu 1.5556 1.5556 1.5556
B 0.0000 0.0000 0.0000
B 4.6666 4.6666 4.6666
Bi 3.1111 3.1111 3.1111
```

| no. | calculated density (g/cm³) |
| --- | --- |
| 1 | 9.3 |
| 2 | 9.6 |
| 3 | 6.8 |
| 4 | 11.4 |
| 5 | 9.5 |
| 6 | 6.3 |
| 7 | 5.9 |
| 8 | 11.4 |
| 9 | 7.0 |
| 10 | 5.9 |
| 11 | 11.4 |
| 12 | 15.7 |
| 13 | 10.4 |
| 14 | 11.1 |
| 15 | 6.2 |
| 16 | 10.0 |
| 17 | 4.7 |
| 18 | 7.8 |
| 19 | 7.6 |
| 20 | 6.6 |
| 21 | 8.7 |
| 22 | 9.6 |
| 23 | 8.1 |